# SrAc2Cu (PBE, optimized geometry)
# E (eV per atom): -3.434
# DFT formation energy (eV/atom): 0.06
# Offset from the most stable computed form (meV per atom): 52
data_SrAc2Cu
_chemical_formula_sum 'Sr1 Ac2 Cu1'
_symmetry_space_group_name_H-M 'P 1'
_symmetry_Int_Tables_number 1
_cell_length_a 4.1578
_cell_length_b 4.1578
_cell_length_c 11.1225
_cell_angle_alpha 79.23
_cell_angle_beta 79.23
_cell_angle_gamma 60.00
loop_
_symmetry_equiv_pos_as_xyz
'x,y,z'
loop_
_atom_site_label
_atom_site_fract_x
_atom_site_fract_y
_atom_site_fract_z
Sr1 0.4996 0.4996 0.5011
Ac1 0.0598 0.0598 0.8207
Ac2 0.2739 0.2739 0.1784
Cu1 0.6667 0.6667 0.9998